Run P
A relaxed structure of AlTlNi, computed with PBE-GGA.

a = 4.379 Å, b = 4.379 Å, c = 4.379 Å
α = 60.00°, β = 60.00°, γ = 60.00°
Positions (direct):
Al  0.000  0.000  0.000
Tl  0.250  0.250  0.250
Ni  0.500  0.500  0.500

Output
The crystal system is cubic.

Run Q
A relaxed structure of AlTlNi, computed with PBE-GGA.

a = 4.272 Å, b = 4.272 Å, c = 4.272 Å
α = 60.00°, β = 60.00°, γ = 60.00°
Positions (direct):
Al  0.000  0.000  0.000
Tl  0.500  0.500  0.500
Ni  0.250  0.250  0.250

Output
The crystal system is cubic.

Least stable structure: run P

Run P
A relaxed structure of AlPPtO, computed with PBE-GGA.

a = 3.063 Å, b = 6.344 Å, c = 6.378 Å
α = 90.00°, β = 90.00°, γ = 90.00°
Positions (direct):
Al  0.000  0.249  0.000
Al  0.000  0.751  0.500
P  0.000  0.100  0.346
P  0.000  0.900  0.846
Pt  0.500  0.208  0.592
Pt  0.500  0.792  0.092
O  0.500  0.370  0.934
O  0.500  0.630  0.434

Output
The crystal system is orthorhombic.

Run Q
A relaxed structure of AlPPtO, computed with PBE-GGA.

a = 3.696 Å, b = 3.696 Å, c = 8.649 Å
α = 90.00°, β = 90.00°, γ = 90.00°
Positions (direct):
Al  0.250  0.250  0.082
Al  0.750  0.750  0.918
P  0.250  0.250  0.686
P  0.750  0.750  0.314
Pt  0.250  0.750  0.500
Pt  0.750  0.250  0.500
O  0.250  0.750  0.000
O  0.750  0.250  0.000

Output
The crystal system is tetragonal.

Run R
A relaxed structure of AlPPtO, computed with PBE-GGA.

a = 4.009 Å, b = 7.143 Å, c = 4.648 Å
α = 90.00°, β = 90.00°, γ = 90.00°
Positions (direct):
Al  0.000  0.131  0.000
Al  0.000  0.869  0.500
P  0.500  0.298  0.883
P  0.500  0.702  0.383
Pt  0.500  0.386  0.393
Pt  0.500  0.614  0.893
O  0.000  0.101  0.373
O  0.000  0.899  0.873

Output
The crystal system is orthorhombic.

Run S
A relaxed structure of AlPPtO, computed with PBE-GGA.

a = 4.044 Å, b = 4.044 Å, c = 8.052 Å
α = 90.00°, β = 90.00°, γ = 90.00°
Positions (direct):
Al  0.250  0.750  0.000
Al  0.750  0.250  0.000
P  0.250  0.250  0.166
P  0.750  0.750  0.834
Pt  0.250  0.250  0.567
Pt  0.750  0.750  0.433
O  0.250  0.750  0.500
O  0.750  0.250  0.500

Output
The crystal system is tetragonal.

Least stable structure: run S

Run P
A relaxed structure of AlRePO, computed with PBE-GGA.

a = 3.183 Å, b = 5.692 Å, c = 5.796 Å
α = 90.00°, β = 90.00°, γ = 90.00°
Positions (direct):
Al  0.000  0.132  0.000
Al  0.000  0.868  0.500
Re  0.500  0.497  0.136
Re  0.500  0.503  0.636
P  0.000  0.284  0.414
P  0.000  0.716  0.914
O  0.500  0.216  0.873
O  0.500  0.784  0.373

Output
The crystal system is orthorhombic.

Run Q
A relaxed structure of AlRePO, computed with PBE-GGA.

a = 3.498 Å, b = 3.498 Å, c = 8.216 Å
α = 90.00°, β = 90.00°, γ = 90.00°
Positions (direct):
Al  0.250  0.750  0.000
Al  0.750  0.250  0.000
Re  0.250  0.250  0.340
Re  0.750  0.750  0.660
P  0.250  0.250  0.778
P  0.750  0.750  0.222
O  0.250  0.750  0.500
O  0.750  0.250  0.500

Output
The crystal system is tetragonal.

Least stable structure: run Q

Run P
A relaxed structure of AlRePO, computed with PBE-GGA.

a = 3.784 Å, b = 3.784 Å, c = 8.724 Å
α = 90.00°, β = 90.00°, γ = 90.00°
Positions (direct):
Al  0.250  0.250  0.074
Al  0.750  0.750  0.926
Re  0.250  0.750  0.500
Re  0.750  0.250  0.500
P  0.250  0.250  0.338
P  0.750  0.750  0.662
O  0.250  0.750  0.000
O  0.750  0.250  0.000

Output
The crystal system is tetragonal.

Run Q
A relaxed structure of AlRePO, computed with PBE-GGA.

a = 2.985 Å, b = 6.418 Å, c = 5.404 Å
α = 90.00°, β = 90.00°, γ = 90.00°
Positions (direct):
Al  0.000  0.000  0.000
Al  0.000  0.000  0.500
Re  0.500  0.421  0.353
Re  0.500  0.579  0.853
P  0.500  0.231  0.758
P  0.500  0.769  0.258
O  0.000  0.198  0.252
O  0.000  0.802  0.752

Output
The crystal system is orthorhombic.

Least stable structure: run Q